No. 1
DFT (PBE) results for an optimized crystal structure of Na2La2Pb.

Values from the calculation:
Relative energy among the computed polymorphs, meV per atom: 153.3
DFT formation energy, eV/f.u.: 0.66
Calculated density, g cm⁻³: 4.57
Volume, Å³ per cell: 385.8

a = 8.1941 Å, b = 8.1941 Å, c = 5.7460 Å
α = 90.00°, β = 90.00°, γ = 90.00°
Last column: nearest neighbours and their distance in Å.
Atoms (fractional coordinates):
Na: 0.1726 0.3274 0.0000  6 La 3.68-3.81, 1 Na 4.00
Na: 0.3274 0.8274 0.0000  6 La 3.68-3.81, 1 Na 4.00
Na: 0.6726 0.1726 0.0000  6 La 3.68-3.81, 1 Na 4.00
Na: 0.8274 0.6726 0.0000  6 La 3.68-3.81, 1 Na 4.00
La: 0.1292 0.6292 0.5000  1 La 2.99, 2 Pb 3.22
La: 0.3708 0.1292 0.5000  1 La 2.99, 2 Pb 3.22
La: 0.6292 0.8708 0.5000  1 La 2.99, 2 Pb 3.22
La: 0.8708 0.3708 0.5000  1 La 2.99, 2 Pb 3.22
Pb: 0.0000 0.0000 0.5000  4 La 3.22
Pb: 0.5000 0.5000 0.5000  4 La 3.22


No. 2
DFT (PBE) results for an optimized crystal structure of PmPr2Ho9.

Values from the calculation:
Relative energy among the computed polymorphs, meV per atom: 0.0
DFT formation energy, eV/f.u.: 0.28
Calculated density, g cm⁻³: 8.25
Volume, Å³ per cell: 384.6

a = 5.0417 Å, b = 5.0417 Å, c = 15.1288 Å
α = 90.00°, β = 90.00°, γ = 90.00°
Last column: nearest neighbours and their distance in Å.
Atoms (fractional coordinates):
Pm: 0.0000 0.0000 0.0000  12 Ho 3.55-3.57
Pr: 0.0000 0.0000 0.3331  12 Ho 3.57
Pr: 0.0000 0.0000 0.6669  12 Ho 3.57
Ho: 0.0000 0.5000 0.1656  8 Ho 3.55-3.57, 2 Pm 3.55, 2 Pr 3.57
Ho: 0.0000 0.5000 0.5000  8 Ho 3.57, 4 Pr 3.57
Ho: 0.0000 0.5000 0.8344  8 Ho 3.55-3.57, 2 Pm 3.55, 2 Pr 3.57
Ho: 0.5000 0.0000 0.1656  8 Ho 3.55-3.57, 2 Pm 3.55, 2 Pr 3.57
Ho: 0.5000 0.0000 0.5000  8 Ho 3.57, 4 Pr 3.57
Ho: 0.5000 0.0000 0.8344  8 Ho 3.55-3.57, 2 Pm 3.55, 2 Pr 3.57
Ho: 0.5000 0.5000 0.0000  8 Ho 3.55, 4 Pm 3.57
Ho: 0.5000 0.5000 0.3327  4 Pr 3.57, 8 Ho 3.57
Ho: 0.5000 0.5000 0.6673  4 Pr 3.57, 8 Ho 3.57


No. 3
DFT (PBE) results for an optimized crystal structure of PrSmIrI.

Values from the calculation:
Formation energy from raw total energies, eV/atom: -0.946
Calculated density, g cm⁻³: 8.10
Volume, Å³ per cell: 375.2

a = 4.2106 Å, b = 4.2106 Å, c = 24.4375 Å
α = 90.00°, β = 90.00°, γ = 120.00°
Last column: nearest neighbours and their distance in Å.
Atoms (fractional coordinates):
Pr: 0.0000 0.0000 0.0000  3 Ir 2.87
Pr: 0.3333 0.6667 0.6667  3 Ir 2.87
Pr: 0.6667 0.3333 0.3333  3 Ir 2.87
Sm: 0.0000 0.0000 0.7883  3 Ir 2.83
Sm: 0.3333 0.6667 0.4550  3 Ir 2.83
Sm: 0.6667 0.3333 0.1216  3 Ir 2.83
Ir: 0.0000 0.0000 0.3958  3 Sm 2.83, 3 Pr 2.87
Ir: 0.3333 0.6667 0.0624  3 Sm 2.83, 3 Pr 2.87
Ir: 0.6667 0.3333 0.7291  3 Sm 2.83, 3 Pr 2.87
I: 0.0000 0.0000 0.2247  3 Sm 3.50, 3 Pr 3.60
I: 0.3333 0.6667 0.8914  3 Sm 3.50, 3 Pr 3.60
I: 0.6667 0.3333 0.5581  3 Sm 3.50, 3 Pr 3.60